Record 1
DFT (PBE) results for a geometry-optimized Ac6C3S2I structure.

The structure belongs to space group C2/m (No. 12); the cell edges are 19.132, 4.162 and 8.829 Å and the angles 90.00°, 108.20° and 90.00°. The asymmetric unit holds Ac at (0.013, 0.000, 0.211), Ac at (0.162, 0.500, 0.096), Ac at (0.182, 0.500, 0.565), C at (0.000, 0.500, 0.000), C at (0.169, 0.000, 0.327), S at (0.165, 0.000, 0.827) and I at (0.000, 0.500, 0.500).

---

Record 2
DFT (PBE) results for a geometry-optimized Ac4CSeI2 structure.

The structure belongs to space group P2/m (No. 10); the cell edges are 7.692, 4.245 and 8.532 Å and the angles 90.00°, 106.11° and 90.00°. The asymmetric unit holds Ac at (0.198, 0.000, 0.183), Ac at (0.230, 0.500, 0.807), C at (0.000, 0.500, 0.000), Se at (0.500, 0.000, 0.000), I at (0.000, 0.000, 0.500) and I at (0.500, 0.500, 0.500).

---

Record 3
DFT (PBE) results for a geometry-optimized Ac8Si3CI4 structure.

The structure belongs to space group R-3m (No. 166, hexagonal axes); the cell edges are 8.9338, 8.9338 and 24.8634 Å and the angles 90.00°, 90.00° and 120.00°. The asymmetric unit holds Ac at (0.0000, 0.0000, 0.2335), Ac at (0.0247, 0.5124, 0.2293), Si at (0.0000, 0.5000, 0.5000), C at (0.0000, 0.0000, 0.5000), I at (0.0000, 0.0000, 0.0000) and I at (0.0000, 0.5000, 0.0000).

---

Record 4
DFT (PBE) results for a geometry-optimized Ac8Si3CI3 structure.

The structure belongs to space group R-3m (No. 166, hexagonal axes); the cell edges are 8.9422, 8.9422 and 24.7911 Å and the angles 90.00°, 90.00° and 120.00°. The asymmetric unit holds Ac at (0.0000, 0.0000, 0.2336), Ac at (0.0266, 0.5133, 0.2291), Si at (0.0000, 0.5000, 0.5000), C at (0.0000, 0.0000, 0.5000) and I at (0.0000, 0.5000, 0.0000).

---

Record 5
DFT (PBE) results for a geometry-optimized AcTbCI structure.

The structure belongs to space group R3m (No. 160, hexagonal axes); the cell edges are 3.8996, 3.8996 and 24.0461 Å and the angles 90.00°, 90.00° and 120.00°. The asymmetric unit holds Ac at (0.0000, 0.0000, 0.0000), Tb at (0.0000, 0.0000, 0.2173), C at (0.0000, 0.0000, 0.5991) and I at (0.0000, 0.0000, 0.7850).

---

Record 6
DFT (PBE) results for a geometry-optimized Ac4TeCI2 structure.

The structure belongs to space group P2/m (No. 10); the cell edges are 8.142, 4.309 and 8.428 Å and the angles 90.00°, 106.35° and 90.00°. The asymmetric unit holds Ac at (0.189, 0.000, 0.184), Ac at (0.210, 0.500, 0.800), Te at (0.500, 0.000, 0.000), C at (0.000, 0.500, 0.000), I at (0.000, 0.000, 0.500) and I at (0.500, 0.500, 0.500).

---

Record 7
DFT (PBE) results for a geometry-optimized AcThCI structure.

The structure belongs to space group Cm (No. 8); the cell edges are 6.837, 3.940 and 8.571 Å and the angles 90.00°, 105.42° and 90.00°. The asymmetric unit holds Ac at (0.000, 0.000, 0.000), Th at (0.284, 0.500, 0.350), C at (0.405, 0.000, 0.215) and I at (0.220, 0.000, 0.659).

---

Record 8
DFT (PBE) results for a geometry-optimized Ac2TmC2I2 structure.

The structure belongs to space group I4/mmm (No. 139); the cell edges are 4.623, 4.623 and 19.061 Å and the angles 90.00°, 90.00° and 90.00°. The asymmetric unit holds Ac at (0.000, 0.000, 0.088), Tm at (0.000, 0.000, 0.500), C at (0.000, 0.500, 0.000) and I at (0.000, 0.000, 0.327).

---

What did we get for spin magnetization? Answer: 0.00; 0.00; 0.00; 3.31; 0.01; 0.00; 0.00; 0.00 μB/cell, in the order shown.
What did we get for final energy? Answer: -142.39; -40.02; -232.80; -218.17; -66.17; -38.74; -49.42; -76.81 eV for the cell shown, in the order shown.